Record 1
DFT (GGA-PBE) results for Pd8Au3 after structural relaxation.

Calculated values
ΔH_f (0 K) in meV/atom: 428
Symmetry: R-3
ρ in g/cm3: 11.429
M_tot in μB per cell: 0.0

abc: 5.9620 5.9620 5.9620
angles: 94.81 94.81 94.81
Closest atoms and distances in Å follow each position.
Sites, in units of the cell vectors:
Pd 0.0814 0.9367 0.3112  6 Pd 2.60-2.88, 1 Au 2.63
Pd 0.3112 0.0814 0.9367  6 Pd 2.60-2.88, 1 Au 2.63
Pd 0.6888 0.9186 0.0633  6 Pd 2.60-2.88, 1 Au 2.63
Pd 0.3598 0.3598 0.3598  3 Au 2.55, 1 Pd 2.64
Au 0.5000 0.5000 0.0000  4 Pd 2.55-2.63
Pd 0.9186 0.0633 0.6888  6 Pd 2.60-2.88, 1 Au 2.63
Au 0.0000 0.5000 0.5000  4 Pd 2.55-2.63
Pd 0.6402 0.6402 0.6402  3 Au 2.55, 1 Pd 2.64
Pd 0.0633 0.6888 0.9186  6 Pd 2.60-2.88, 1 Au 2.63
Pd 0.9367 0.3112 0.0814  6 Pd 2.60-2.88, 1 Au 2.63
Au 0.5000 0.0000 0.5000  4 Pd 2.55-2.63

***

Record 2
DFT (GGA-PBE) results for Pd3Au5 after structural relaxation.

Calculated values
ΔH_f (0 K) in meV/atom: -74
Symmetry: Cmmm
ρ in g/cm3: 15.961
M_tot in μB per cell: 0.0

abc: 4.0539 5.7853 5.7853
angles: 90.37 90.00 90.00
Closest atoms and distances in Å follow each position.
Sites, in units of the cell vectors:
Au 0.5000 0.7443 0.7443  6 Pd 2.84-2.92, 6 Au 2.88-2.91
Pd 0.0000 0.5000 0.5000  8 Au 2.84-2.89, 4 Pd 2.89
Au 0.0000 0.0000 0.0000  4 Pd 2.88, 8 Au 2.89-2.91
Pd 0.5000 0.7506 0.2494  10 Au 2.86-2.92, 2 Pd 2.89
Pd 0.5000 0.2494 0.7506  10 Au 2.86-2.92, 2 Pd 2.89
Au 0.0000 0.0000 0.5000  6 Pd 2.87-2.89, 6 Au 2.88-2.89
Au 0.0000 0.5000 0.0000  6 Pd 2.87-2.89, 6 Au 2.88-2.89
Au 0.5000 0.2557 0.2557  6 Pd 2.84-2.92, 6 Au 2.88-2.91

***

Record 3
DFT (GGA-PBE) results for Pd6Au5 after structural relaxation.

Calculated values
ΔH_f (0 K) in meV/atom: 53
Symmetry: C2/m
ρ in g/cm3: 14.253
M_tot in μB per cell: 0.0

abc: 8.0938 6.7847 4.7561
angles: 75.09 64.45 53.38
Closest atoms and distances in Å follow each position.
Sites, in units of the cell vectors:
Au 0.7786 0.4429 0.5000  8 Pd 2.77-2.92, 3 Au 2.82-3.03
Pd 0.3201 0.7320 0.8691  4 Pd 2.72-2.92, 6 Au 2.80-2.92
Au 0.6401 0.7198 0.0000  6 Pd 2.81-2.87, 5 Au 2.82-3.05
Pd 0.8121 0.0000 0.6327  5 Pd 2.75-2.79, 5 Au 2.77-2.86
Pd 0.6799 0.2680 0.1309  4 Pd 2.72-2.92, 6 Au 2.80-2.92
Pd 0.1879 0.0000 0.3673  5 Pd 2.75-2.79, 5 Au 2.77-2.86
Au 0.5000 0.0000 0.5000  6 Pd 2.80-2.86, 6 Au 2.83-3.03
Au 0.3599 0.2802 0.0000  6 Pd 2.81-2.87, 5 Au 2.82-3.05
Pd 0.9479 0.7320 0.1309  4 Pd 2.72-2.92, 6 Au 2.80-2.92
Au 0.2214 0.5571 0.5000  8 Pd 2.77-2.92, 3 Au 2.82-3.03
Pd 0.0521 0.2680 0.8691  4 Pd 2.72-2.92, 6 Au 2.80-2.92

***

Record 4
DFT (GGA-PBE) results for Pd5Au3 after structural relaxation.

Calculated values
ΔH_f (0 K) in meV/atom: -48
Symmetry: Cmmm
ρ in g/cm3: 14.249
M_tot in μB per cell: 0.0

abc: 3.9496 5.7565 5.7565
angles: 89.57 90.00 90.00
Closest atoms and distances in Å follow each position.
Sites, in units of the cell vectors:
Au 0.5000 0.7528 0.2472  10 Pd 2.81-2.91, 2 Au 2.85
Pd 0.5000 0.7526 0.7526  6 Pd 2.83, 6 Au 2.85-2.91
Au 0.0000 0.5000 0.5000  4 Au 2.85, 8 Pd 2.86-2.88
Pd 0.0000 0.0000 0.5000  6 Pd 2.83-2.88, 6 Au 2.84-2.88
Pd 0.0000 0.0000 0.0000  4 Au 2.81, 8 Pd 2.83-2.88
Pd 0.5000 0.2474 0.2474  6 Pd 2.83, 6 Au 2.85-2.91
Au 0.5000 0.2472 0.7528  10 Pd 2.81-2.91, 2 Au 2.85
Pd 0.0000 0.5000 0.0000  6 Pd 2.83-2.88, 6 Au 2.84-2.88

***

Record 5
DFT (GGA-PBE) results for Pd13Au3 after structural relaxation.

Calculated values
ΔH_f (0 K) in meV/atom: -9
Symmetry: Amm2
ρ in g/cm3: 12.881
M_tot in μB per cell: 3.0

abc: 5.6645 5.6645 7.9324
angles: 90.00 90.00 90.11
Closest atoms and distances in Å follow each position.
Sites, in units of the cell vectors:
Pd 0.2527 0.7473 0.0000  10 Pd 2.80-2.86, 2 Au 2.84
Pd 0.4988 0.9985 0.2520  9 Pd 2.80-2.85, 3 Au 2.82-2.85
Pd 0.7473 0.2527 0.5000  10 Pd 2.80-2.87, 2 Au 2.83
Au 0.0013 0.9987 0.2520  11 Pd 2.82-2.85, 1 Au 2.85
Au 0.7473 0.2527 0.0000  10 Pd 2.81-2.86, 2 Au 2.85
Pd 0.4988 0.9985 0.7480  9 Pd 2.80-2.85, 3 Au 2.82-2.85
Pd 0.2535 0.2532 0.5000  10 Pd 2.79-2.87, 2 Au 2.83
Pd 0.0015 0.5012 0.7480  9 Pd 2.80-2.85, 3 Au 2.82-2.85
Pd 0.4988 0.5012 0.7486  11 Pd 2.79-2.85, 1 Au 2.82
Pd 0.2518 0.2526 0.0000  8 Pd 2.80-2.86, 4 Au 2.81-2.86
Pd 0.4988 0.5012 0.2514  11 Pd 2.79-2.85, 1 Au 2.82
Pd 0.0015 0.5012 0.2520  9 Pd 2.80-2.85, 3 Au 2.82-2.85
Pd 0.7474 0.7482 0.0000  8 Pd 2.80-2.86, 4 Au 2.81-2.86
Pd 0.2524 0.7476 0.5000  10 Pd 2.79-2.86, 2 Au 2.82
Pd 0.7468 0.7465 0.5000  10 Pd 2.79-2.87, 2 Au 2.83
Au 0.0013 0.9987 0.7480  11 Pd 2.82-2.85, 1 Au 2.85

***

Record 6
DFT (GGA-PBE) results for PdAu3 after structural relaxation.

Calculated values
ΔH_f (0 K) in meV/atom: -36
Symmetry: Pmm2
ρ in g/cm3: 16.672
M_tot in μB per cell: 0.0

abc: 2.9822 4.7705 4.8821
angles: 90.00 90.00 90.00
Closest atoms and distances in Å follow each position.
Sites, in units of the cell vectors:
Au 0.5000 0.0000 0.4900  4 Pd 2.86, 8 Au 2.91-2.98
Pd 0.0000 0.0000 0.9892  10 Au 2.86-2.94, 2 Pd 2.98
Au 0.0000 0.5000 0.3411  10 Au 2.84-2.98, 2 Pd 2.94
Au 0.5000 0.5000 0.8463  8 Au 2.84-2.98, 4 Pd 2.90